{
  "formula": "LaTi2SnMo",
  "functional": "PBE-GGA",
  "state": "relaxed",
  "lattice": [[4.8221, 0.0000, 0.0000], [0.0000, 5.2982, 0.0000], [0.0000, 0.0000, 4.8221]],
  "species": ["Ti", "Ti", "La", "Mo", "Sn"],
  "frac_coords": [[0.5000, 0.0000, 0.0000], [0.0000, 0.0000, 0.5000], [0.5000, 0.5000, 0.5000], [0.0000, 0.0000, 0.0000], [0.0000, 0.5000, 0.0000]],
  "total_magnetization_mub_per_atom": 0.179,
  "formation_enthalpy_0k_mev_per_atom": 223
}


{
  "formula": "LaSnMoW2",
  "functional": "PBE-GGA",
  "state": "relaxed",
  "lattice": [[-2.0675, -1.4811, -4.3269], [4.1429, -2.6177, -1.0835], [-1.9365, -4.0171, 2.3004]],
  "species": ["W", "W", "La", "Sn", "Mo"],
  "frac_coords": [[0.0000, 0.5000, 0.0000], [0.5000, 0.0000, 0.0000], [0.5000, 0.5000, 0.5000], [0.0000, 0.0000, 0.0000], [0.0000, 0.0000, 0.5000]],
  "total_magnetization_mub_per_atom": 0.031,
  "formation_enthalpy_0k_mev_per_atom": 1870
}


{
  "formula": "SrLa2Mo",
  "functional": "PBE-GGA",
  "state": "relaxed",
  "lattice": [[0.0000, 3.8690, 3.8690], [3.8690, 0.0000, 3.8690], [3.8690, 3.8690, 0.0000]],
  "species": ["Sr", "La", "La", "Mo"],
  "frac_coords": [[0.0000, 0.0000, 0.0000], [0.7500, 0.7500, 0.7500], [0.2500, 0.2500, 0.2500], [0.5000, 0.5000, 0.5000]],
  "relative_energy_mev_per_atom": 255,
  "total_magnetization_mub_per_atom": 0.000,
  "formation_enthalpy_0k_mev_per_atom": 581
}